#i
Density functional theory data (PBE) for crystalline RbCu2Ru at its relaxed geometry.

The structure in extended XYZ format:
```
16
Lattice="6.740 0.000 0.000 0.000 6.740 0.000 0.000 0.000 6.740" Properties=species:S:1:pos:R:3 pbc="T T T"
Rb 0.000 0.000 0.000
Rb 0.000 3.370 3.370
Rb 3.370 0.000 3.370
Rb 3.370 3.370 0.000
Cu 1.685 1.685 1.685
Cu 1.685 1.685 5.055
Cu 1.685 5.055 1.685
Cu 1.685 5.055 5.055
Cu 5.055 1.685 1.685
Cu 5.055 1.685 5.055
Cu 5.055 5.055 1.685
Cu 5.055 5.055 5.055
Ru 0.000 0.000 3.370
Ru 0.000 3.370 0.000
Ru 3.370 0.000 0.000
Ru 3.370 3.370 3.370
```

#ii
Density functional theory data (PBE) for crystalline RbCu2Ru at its relaxed geometry.

The structure in extended XYZ format:
```
16
Lattice="5.113 0.000 0.000 0.000 5.113 0.000 0.000 0.000 16.617" Properties=species:S:1:pos:R:3 pbc="T T T"
Rb 0.000 1.278 6.231
Rb 0.000 3.835 10.386
Rb 2.557 1.278 2.077
Rb 2.557 3.835 14.540
Cu 0.000 0.000 0.000
Cu 0.000 2.557 0.000
Cu 1.278 1.278 12.463
Cu 1.278 3.835 4.154
Cu 2.557 0.000 8.308
Cu 2.557 2.557 8.308
Cu 3.835 1.278 12.463
Cu 3.835 3.835 4.154
Ru 0.000 1.278 14.540
Ru 0.000 3.835 2.077
Ru 2.557 1.278 10.386
Ru 2.557 3.835 6.231
```

Pick #ii: it beats the second-best structure by 319 meV/atom.

#i
Density functional theory data (PBE) for crystalline RbCu3S at its relaxed geometry.

The structure in extended XYZ format:
```
5
Lattice="5.183 0.000 0.000 0.000 5.183 0.000 0.000 0.000 5.183" Properties=species:S:1:pos:R:3 pbc="T T T"
Rb 0.000 0.000 0.000
Cu 0.000 0.000 2.592
Cu 0.000 2.592 0.000
Cu 2.592 0.000 0.000
S 2.592 2.592 2.592
```

#ii
Density functional theory data (PBE) for crystalline RbCu3S at its relaxed geometry.

The structure in extended XYZ format:
```
5
Lattice="4.754 0.000 0.000 0.000 4.754 0.000 0.000 0.000 4.754" Properties=species:S:1:pos:R:3 pbc="T T T"
Rb 0.000 0.000 0.000
Cu 0.000 2.377 2.377
Cu 2.377 0.000 2.377
Cu 2.377 2.377 0.000
S 2.377 2.377 2.377
```

Pick #ii: it beats the second-best structure by 1506 meV/atom.

#i
Density functional theory data (PBE) for crystalline RbScCuS2 at its relaxed geometry.

The structure in extended XYZ format:
```
5
Lattice="5.539 0.000 0.000 0.000 5.539 0.000 0.000 0.000 4.711" Properties=species:S:1:pos:R:3 pbc="T T T"
Rb 0.000 0.000 0.000
Sc 2.770 2.770 2.355
Cu 0.000 0.000 2.355
S 0.000 2.770 0.000
S 2.770 0.000 0.000
```

#ii
Density functional theory data (PBE) for crystalline RbScCuS2 at its relaxed geometry.

The structure in extended XYZ format:
```
10
Lattice="7.631 0.000 0.000 0.000 4.902 0.000 -1.563 0.000 6.844" Properties=species:S:1:pos:R:3 pbc="T T T"
Rb -0.391 0.969 1.711
Rb -1.173 3.933 5.133
Sc 2.643 2.427 5.133
Sc 3.425 2.475 1.711
Cu 3.816 0.000 0.000
Cu 3.034 0.000 3.422
S 0.696 1.512 6.501
S 1.478 3.390 3.079
S 4.590 1.512 3.765
S 5.372 3.390 0.343
```

Pick #ii: it beats the second-best structure by 1995 meV/atom.

#i
Density functional theory data (PBE) for crystalline Rb2TaCuS4 at its relaxed geometry.

The structure in extended XYZ format:
```
16
Lattice="0.000 6.924 12.195 2.807 0.000 12.195 2.807 6.924 0.000" Properties=species:S:1:pos:R:3 pbc="T T T"
Rb 2.105 5.193 1.280
Rb 3.509 8.655 7.377
Rb 2.105 5.193 17.013
Rb 3.509 8.655 23.111
Ta 0.702 1.731 3.049
Ta 4.912 12.117 21.342
Cu 2.105 5.193 9.146
Cu 3.509 8.655 15.244
S 2.059 3.052 4.351
S 3.555 6.514 10.448
S 2.151 7.335 4.351
S 2.151 3.052 13.942
S 3.462 10.797 10.448
S 3.462 6.514 20.040
S 2.059 7.335 13.942
S 3.555 10.797 20.040
```

#ii
Density functional theory data (PBE) for crystalline Rb2TaCuS4 at its relaxed geometry.

The structure in extended XYZ format:
```
16
Lattice="0.000 6.962 12.133 2.795 0.000 12.133 2.795 6.962 0.000" Properties=species:S:1:pos:R:3 pbc="T T T"
Rb 2.096 5.222 1.253
Rb 3.494 8.703 7.319
Rb 2.096 5.222 16.947
Rb 3.494 8.703 23.013
Ta 2.096 5.222 9.100
Ta 3.494 8.703 15.166
Cu 0.699 1.741 3.033
Cu 4.892 12.184 21.232
S 2.130 3.074 4.321
S 3.460 6.555 10.388
S 2.063 7.370 4.321
S 2.063 3.074 13.878
S 3.528 10.851 10.388
S 3.528 6.555 19.945
S 2.130 7.370 13.878
S 3.460 10.851 19.945
```

Pick #i: it beats the second-best structure by 8 meV/atom.

#i
Density functional theory data (PBE) for crystalline RbTlCuS2 at its relaxed geometry.

The structure in extended XYZ format:
```
10
Lattice="7.824 0.000 0.000 0.000 4.994 0.000 -2.703 0.000 7.493" Properties=species:S:1:pos:R:3 pbc="T T T"
Rb -0.676 1.195 1.873
Rb -2.028 3.798 5.620
Tl 1.884 2.018 5.620
Tl 3.236 2.976 1.873
Cu 3.912 0.000 0.000
Cu 2.560 0.000 3.747
S -0.534 1.281 7.479
S 0.818 3.713 3.732
S 4.302 1.281 3.761
S 5.654 3.713 0.015
```

#ii
Density functional theory data (PBE) for crystalline RbTlCuS2 at its relaxed geometry.

The structure in extended XYZ format:
```
5
Lattice="5.368 0.000 0.000 0.000 5.368 0.000 0.000 0.000 5.020" Properties=species:S:1:pos:R:3 pbc="T T T"
Rb 0.000 0.000 0.000
Tl 2.684 2.684 2.510
Cu 2.684 2.684 0.000
S 0.000 2.684 2.510
S 2.684 0.000 2.510
```

Pick #i: it beats the second-best structure by 615 meV/atom.

#i
Density functional theory data (PBE) for crystalline RbVCu2S4 at its relaxed geometry.

The structure in extended XYZ format:
```
16
Lattice="6.198 0.000 0.000 0.000 6.198 0.000 0.000 0.000 9.055" Properties=species:S:1:pos:R:3 pbc="T T T"
Rb 0.000 0.000 0.000
Rb 3.099 3.099 4.528
V 0.000 0.000 4.528
V 3.099 3.099 0.000
Cu 0.000 3.099 2.264
Cu 0.000 3.099 6.791
Cu 3.099 0.000 2.264
Cu 3.099 0.000 6.791
S 1.187 1.187 3.120
S 1.187 5.011 5.935
S 1.912 1.912 7.648
S 1.912 4.286 1.407
S 4.286 1.912 1.407
S 4.286 4.286 7.648
S 5.011 1.187 5.935
S 5.011 5.011 3.120
```

#ii
Density functional theory data (PBE) for crystalline RbVCu2S4 at its relaxed geometry.

The structure in extended XYZ format:
```
16
Lattice="7.507 0.000 0.000 0.000 9.317 2.715 0.000 -9.317 2.715" Properties=species:S:1:pos:R:3 pbc="T T T"
Rb 1.877 -5.906 2.715
Rb 5.630 5.906 2.715
V 1.877 -1.967 1.330
V 5.630 1.967 1.330
Cu 0.000 0.000 1.410
Cu 1.877 -1.930 4.042
Cu 3.753 0.000 1.410
Cu 5.630 1.930 4.042
S 0.082 -1.962 2.600
S 1.877 -0.127 0.065
S 1.877 5.598 2.764
S 3.671 -1.962 2.600
S 3.835 1.962 2.600
S 5.630 0.127 0.065
S 5.630 -5.598 2.764
S 7.425 1.962 2.600
```

Pick #ii: it beats the second-best structure by 234 meV/atom.